(1)
Computed, not measured: a relaxed structure of MnGe2Ir at the PBE level of DFT.

Output
ΔH_f (0 K): -0.354 eV per formula unit
Crystal system: monoclinic

abc: 8.830 3.035 4.475
angles: 90.00 105.34 90.00
Space group Cm (No. 8)
Symmetry-distinct sites (fractional):
Mn: 0.000 0.000 0.000 x2
Ge: 0.008 0.500 0.526 x2
Ge: 0.263 0.000 0.900 x2
Ir: 0.267 0.500 0.388 x2

(2)
Computed, not measured: a relaxed structure of Dy2YPb at the PBE level of DFT.

Output
E above lowest polymorph: 0.285 eV/f.u.
ΔH_f (0 K): -0.837 eV per formula unit
Crystal system: tetragonal

abc: 3.624 3.624 9.315
angles: 90.00 90.00 90.00
Space group P4/mmm (No. 123)
Symmetry-distinct sites (fractional):
Dy: 0.000 0.000 0.234 x2
Y: 0.500 0.500 0.500 x1
Pb: 0.500 0.500 0.000 x1

(3)
Computed, not measured: a relaxed structure of MnTeS2 at the PBE level of DFT.

Output
E: -5.4261 eV/atom
Crystal system: monoclinic

abc: 5.641 3.247 10.548
angles: 90.00 97.77 90.00
Space group C2/m (No. 12)
Symmetry-distinct sites (fractional):
Mn: 0.000 0.000 0.000 x2
Te: 0.000 0.500 0.500 x2
S: 0.200 0.500 0.131 x4

(4)
Computed, not measured: a relaxed structure of PaOsO6 at the PBE level of DFT.

Output
E: -8.2340 eV/atom
Crystal system: triclinic

abc: 5.113 5.183 5.244
angles: 60.58 83.98 77.27
Space group P-1 (No. 2)
Symmetry-distinct sites (fractional):
Pa: 0.000 0.000 0.000 x1
Os: 0.500 0.500 0.000 x1
O: 0.267 0.257 0.000 x2
O: 0.274 0.852 0.723 x2
O: 0.276 0.576 0.277 x2

(5)
Computed, not measured: a relaxed structure of La2PuCu3Ge4 at the PBE level of DFT.

Output
ΔH_f (0 K): -4.375 eV per formula unit
Crystal system: tetragonal

abc: 4.373 4.373 10.895
angles: 90.00 90.00 90.00
Space group P-4m2 (No. 115)
Symmetry-distinct sites (fractional):
La: 0.000 0.500 0.229 x2
Pu: 0.000 0.000 0.500 x1
Cu: 0.000 0.500 0.888 x2
Cu: 0.500 0.500 0.500 x1
Ge: 0.000 0.000 0.000 x1
Ge: 0.000 0.500 0.666 x2
Ge: 0.500 0.500 0.000 x1

(6)
Computed, not measured: a relaxed structure of Ce4Sb5H at the PBE level of DFT.

Output
E: -5.2735 eV/atom
Crystal system: monoclinic

abc: 17.495 5.637 6.529
angles: 90.00 110.14 90.00
Space group C2/m (No. 12)
Symmetry-distinct sites (fractional):
Ce: 0.012 0.000 0.267 x4
Ce: 0.157 0.500 0.924 x4
Sb: 0.000 0.500 0.500 x2
Sb: 0.169 0.000 0.158 x4
Sb: 0.172 0.000 0.684 x4
H: 0.000 0.500 0.000 x2

no.,density of states at the Fermi level (states/eV/atom)
1,0.531
2,1.055
3,0.697
4,0.495
5,1.560
6,1.867